{
  "formula": "PtC2",
  "functional": "PBE",
  "state": "relaxed",
  "spacegroup": "P-3m1, No. 164",
  "relative_energy_mev_per_atom": 1896,
  "n_ef_per_ev_cell": 0.80,
  "ef_ev_per_fu": 6.65,
  "lattice": [[3.501, 0.000, 0.000], [-1.750, 3.032, 0.000], [0.000, 0.000, 4.801]],
  "species": ["Pt", "C", "C"],
  "fractional_positions": [[0.000, 0.000, 0.000], [0.333, 0.667, 0.897], [0.667, 0.333, 0.103]]
}

***

{
  "formula": "MgTcAg",
  "functional": "PBE",
  "state": "relaxed",
  "spacegroup": "F-43m, No. 216",
  "relative_energy_mev_per_atom": 598,
  "n_ef_per_ev_cell": 1.33,
  "ef_ev_per_fu": 2.53,
  "lattice": [[0.000, 3.124, 3.124], [3.124, 0.000, 3.124], [3.124, 3.124, 0.000]],
  "species": ["Mg", "Tc", "Ag"],
  "fractional_positions": [[0.000, 0.000, 0.000], [0.500, 0.500, 0.500], [0.750, 0.750, 0.750]]
}

***

{
  "formula": "Pr2YSi3Pt4",
  "functional": "PBE",
  "state": "relaxed",
  "spacegroup": "P-4m2, No. 115",
  "n_ef_per_ev_cell": 6.51,
  "raw_formation_energy_ev_per_atom": -1.045,
  "lattice": [[4.301, 0.000, 0.000], [0.000, 4.301, 0.000], [0.000, 0.000, 10.836]],
  "species": ["Pr", "Pr", "Y", "Si", "Si", "Si", "Pt", "Pt", "Pt", "Pt"],
  "fractional_positions": [[0.000, 0.500, 0.227], [0.500, 0.000, 0.773], [0.000, 0.000, 0.500], [0.000, 0.500, 0.883], [0.500, 0.000, 0.117], [0.500, 0.500, 0.500], [0.000, 0.000, 0.000], [0.000, 0.500, 0.661], [0.500, 0.000, 0.339], [0.500, 0.500, 0.000]]
}

***

{
  "formula": "NaLaW3",
  "functional": "PBE",
  "state": "relaxed",
  "spacegroup": "Pm-3m, No. 221",
  "relative_energy_mev_per_atom": 155,
  "n_ef_per_ev_cell": 5.39,
  "ef_ev_per_fu": 14.11,
  "lattice": [[4.938, 0.000, 0.000], [0.000, 4.938, 0.000], [0.000, 0.000, 4.938]],
  "species": ["Na", "La", "W", "W", "W"],
  "fractional_positions": [[0.000, 0.000, 0.000], [0.500, 0.500, 0.500], [0.000, 0.500, 0.500], [0.500, 0.000, 0.500], [0.500, 0.500, 0.000]]
}